[1]
VASP calculation (GGA-PBE) on a relaxed structure of Sm4PuHg5.

abc: 3.7706 3.7706 19.0986
angles: 90.00 90.00 90.00
Space group P4/mmm (No. 123)
Asymmetric unit:
Sm1 0.0000 0.0000 0.0999
Sm2 0.0000 0.0000 0.3003
Pu1 0.0000 0.0000 0.5000
Hg1 0.5000 0.5000 0.0000
Hg2 0.5000 0.5000 0.1998
Hg3 0.5000 0.5000 0.3980

Output
- calculated volume (Å³ per cell) = 271.5
- crystal system = tetragonal
- calculated formation energy (eV per atom) = -0.40


[2]
VASP calculation (GGA-PBE) on a relaxed structure of Sm2PuHg8.

abc: 5.2033 7.2748 15.0658
angles: 90.00 90.00 90.00
Space group Immm (No. 71)
Asymmetric unit:
Sm1 0.0000 0.0000 0.1915
Pu1 0.0000 0.0000 0.5000
Hg1 0.0000 0.2100 0.0000
Hg2 0.0000 0.2857 0.3513
Hg3 0.0000 0.5000 0.1580

Output
- calculated volume (Å³ per cell) = 570.3
- crystal system = orthorhombic
- calculated formation energy (eV per atom) = -0.24


Calculated values (states/eV per atom) of density of states at the Fermi level for the records, taken in order: 1.697 1.546.